A crystal of Cd5Au relaxed with PBEsol. Source: Alexandria, functional meta-GGA SCAN.

Lattice parameters (Å, degrees): 3.137 3.137 12.137 90.00 90.00 90.00
Element x y z (fractional)
Cd 0.000 0.000 0.653
Cd 0.500 0.500 0.826
Cd 0.500 0.500 0.174
Cd 0.000 0.000 0.347
Au 0.500 0.500 0.500
Cd 0.000 0.000 0.000

Results
The value obtained for the energy of formation is -0.047 eV per atom.